## Sm3SbBr7 (PBE-GGA)

Data for a relaxed Sm3SbBr7 crystal.

It has space group P3m1 (No. 156), with a = 8.7914 Å, b = 8.7914 Å, c = 6.7467 Å, α = 90.00°, β = 90.00° and γ = 120.00°. The inequivalent atoms are Sm at (0.0028, 0.5014, 0.0000), Sb at (0.3333, 0.6667, 0.2627), Br at (0.1815, 0.3630, 0.7621), Br at (0.3533, 0.1767, 0.2167) and Br at (0.6667, 0.3333, 0.7533).

The value obtained for the uncorrected formation energy is -1.56 eV/atom. For the calculated volume, the calculation gives 451.58 Å³/cell.


## Sm5Sb4Br (PBE-GGA)

Data for a relaxed Sm5Sb4Br crystal.

It has space group Immm (No. 71), with a = 4.472 Å, b = 6.265 Å, c = 22.171 Å, α = 90.00°, β = 90.00° and γ = 90.00°. The inequivalent atoms are Sm at (0.000, 0.000, 0.000), Sm at (0.000, 0.000, 0.199), Sm at (0.000, 0.000, 0.393), Sb at (0.000, 0.500, 0.200), Sb at (0.000, 0.500, 0.402) and Br at (0.000, 0.500, 0.000).

The value obtained for the uncorrected formation energy is -1.19 eV/atom. For the calculated volume, the calculation gives 621.08 Å³/cell.


## Sm3SbTeBr (PBE-GGA)

Data for a relaxed Sm3SbTeBr crystal.

It has space group P2_1/m (No. 11), with a = 9.181 Å, b = 4.271 Å, c = 10.277 Å, α = 90.00°, β = 92.55° and γ = 90.00°. The inequivalent atoms are Sm at (0.112, 0.250, 0.337), Sm at (0.147, 0.250, 0.938), Sm at (0.377, 0.750, 0.636), Sb at (0.133, 0.250, 0.639), Te at (0.370, 0.750, 0.325) and Br at (0.367, 0.750, 0.926).

The value obtained for the uncorrected formation energy is -1.15 eV/atom. For the calculated volume, the calculation gives 402.64 Å³/cell.


## SnSb2Br8 (PBE-GGA)

Data for a relaxed SnSb2Br8 crystal.

It has space group C2/m (No. 12), with a = 13.161 Å, b = 10.368 Å, c = 7.863 Å, α = 90.00°, β = 109.72° and γ = 90.00°. The inequivalent atoms are Sn at (0.000, 0.000, 0.000), Sb at (0.148, 0.000, 0.611), Br at (0.087, 0.194, 0.789), Br at (0.157, 0.500, 0.189) and Br at (0.212, 0.000, 0.299).

The value obtained for the uncorrected formation energy is -0.56 eV/atom. For the calculated volume, the calculation gives 1010.06 Å³/cell.


## SnSbBr (PBE-GGA)

Data for a relaxed SnSbBr crystal.

It has space group Pnnm (No. 58), with a = 6.286 Å, b = 15.779 Å, c = 4.448 Å, α = 90.00°, β = 90.00° and γ = 90.00°. The inequivalent atoms are Sn at (0.018, 0.200, 0.000), Sb at (0.225, 0.645, 0.000) and Br at (0.230, 0.419, 0.500).

The value obtained for the uncorrected formation energy is -0.30 eV/atom. For the calculated volume, the calculation gives 441.22 Å³/cell.


## Sn3SbBr (PBE-GGA)

Data for a relaxed Sn3SbBr crystal.

It has space group Pm-3m (No. 221), with a = 5.863 Å, b = 5.863 Å, c = 5.863 Å, α = 90.00°, β = 90.00° and γ = 90.00°. The inequivalent atoms are Sn at (0.000, 0.000, 0.500), Sb at (0.000, 0.000, 0.000) and Br at (0.500, 0.500, 0.500).

The value obtained for the uncorrected formation energy is 0.50 eV/atom. For the calculated volume, the calculation gives 201.55 Å³/cell.


## SnSbBr6 (PBE-GGA)

Data for a relaxed SnSbBr6 crystal.

It has space group R-3 (No. 148, hexagonal axes), with a = 7.0771 Å, b = 7.0771 Å, c = 19.3071 Å, α = 90.00°, β = 90.00° and γ = 120.00°. The inequivalent atoms are Sn at (0.0000, 0.0000, 0.0000), Sb at (0.0000, 0.0000, 0.5000) and Br at (0.9997, 0.3441, 0.2499).

The value obtained for the uncorrected formation energy is -0.55 eV/atom. For the calculated volume, the calculation gives 837.50 Å³/cell.


## Sn2SbBr8 (PBE-GGA)

Data for a relaxed Sn2SbBr8 crystal.

It has space group C2/m (No. 12), with a = 13.137 Å, b = 9.572 Å, c = 7.573 Å, α = 90.00°, β = 112.49° and γ = 90.00°. The inequivalent atoms are Sn at (0.155, 0.000, 0.207), Sb at (0.000, 0.500, 0.000), Br at (0.076, 0.000, 0.825), Br at (0.122, 0.500, 0.773) and Br at (0.140, 0.301, 0.238).

The value obtained for the uncorrected formation energy is -0.61 eV/atom. For the calculated volume, the calculation gives 879.87 Å³/cell.


## Sn3SbBr (PBE-GGA)

Data for a relaxed Sn3SbBr crystal.

It has space group Pm-3m (No. 221), with a = 5.598 Å, b = 5.598 Å, c = 5.598 Å, α = 90.00°, β = 90.00° and γ = 90.00°. The inequivalent atoms are Sn at (0.000, 0.000, 0.500), Sb at (0.500, 0.500, 0.500) and Br at (0.000, 0.000, 0.000).

The value obtained for the uncorrected formation energy is 0.60 eV/atom. For the calculated volume, the calculation gives 175.39 Å³/cell.


## SnSb2Br8 (PBE-GGA)

Data for a relaxed SnSb2Br8 crystal.

It has space group C2/m (No. 12), with a = 14.171 Å, b = 7.910 Å, c = 9.007 Å, α = 90.00°, β = 93.06° and γ = 90.00°. The inequivalent atoms are Sn at (0.000, 0.000, 0.000), Sb at (0.140, 0.000, 0.368), Br at (0.080, 0.000, 0.707), Br at (0.141, 0.240, 0.163) and Br at (0.180, 0.500, 0.575).

The value obtained for the uncorrected formation energy is -0.59 eV/atom. For the calculated volume, the calculation gives 1008.21 Å³/cell.


## SnSbBr3 (PBE-GGA)

Data for a relaxed SnSbBr3 crystal.

It has space group Pm-3m (No. 221), with a = 5.730 Å, b = 5.730 Å, c = 5.730 Å, α = 90.00°, β = 90.00° and γ = 90.00°. The inequivalent atoms are Sn at (0.000, 0.000, 0.000), Sb at (0.500, 0.500, 0.500) and Br at (0.000, 0.000, 0.500).

The value obtained for the uncorrected formation energy is -0.04 eV/atom. For the calculated volume, the calculation gives 188.16 Å³/cell.


## TcSn2SbBr (PBE-GGA)

Data for a relaxed TcSn2SbBr crystal.

It has space group P4/mmm (No. 123), with a = 5.225 Å, b = 5.225 Å, c = 5.102 Å, α = 90.00°, β = 90.00° and γ = 90.00°. The inequivalent atoms are Tc at (0.000, 0.000, 0.000), Sn at (0.000, 0.500, 0.000), Sb at (0.000, 0.000, 0.500) and Br at (0.500, 0.500, 0.500).

The value obtained for the uncorrected formation energy is -0.05 eV/atom. For the calculated volume, the calculation gives 139.30 Å³/cell.


## SnSbTe2Br (PBE-GGA)

Data for a relaxed SnSbTe2Br crystal.

It has space group P4/mmm (No. 123), with a = 5.646 Å, b = 5.646 Å, c = 5.894 Å, α = 90.00°, β = 90.00° and γ = 90.00°. The inequivalent atoms are Sn at (0.000, 0.000, 0.000), Sb at (0.000, 0.000, 0.500), Te at (0.000, 0.500, 0.000) and Br at (0.500, 0.500, 0.500).

The value obtained for the uncorrected formation energy is 0.54 eV/atom. For the calculated volume, the calculation gives 187.90 Å³/cell.


## SnSbTe2Br (PBE-GGA)

Data for a relaxed SnSbTe2Br crystal.

It has space group P4/mmm (No. 123), with a = 5.657 Å, b = 5.657 Å, c = 5.512 Å, α = 90.00°, β = 90.00° and γ = 90.00°. The inequivalent atoms are Sn at (0.000, 0.000, 0.000), Sb at (0.500, 0.500, 0.000), Te at (0.000, 0.500, 0.500) and Br at (0.500, 0.500, 0.500).

The value obtained for the uncorrected formation energy is 0.71 eV/atom. For the calculated volume, the calculation gives 176.36 Å³/cell.


## TlSnSbBr6 (PBE-GGA)

Data for a relaxed TlSnSbBr6 crystal.

It has space group P4_2nm (No. 102), with a = 7.274 Å, b = 7.274 Å, c = 13.252 Å, α = 90.00°, β = 90.00° and γ = 90.00°. The inequivalent atoms are Tl at (0.000, 0.000, 0.000), Sn at (0.000, 0.000, 0.671), Sb at (0.000, 0.000, 0.333), Br at (0.179, 0.179, 0.497), Br at (0.208, 0.208, 0.190) and Br at (0.226, 0.226, 0.822).

The value obtained for the uncorrected formation energy is -0.69 eV/atom. For the calculated volume, the calculation gives 701.24 Å³/cell.


## YSnSbBr2 (PBE-GGA)

Data for a relaxed YSnSbBr2 crystal.

It has space group P4/mmm (No. 123), with a = 5.404 Å, b = 5.404 Å, c = 5.998 Å, α = 90.00°, β = 90.00° and γ = 90.00°. The inequivalent atoms are Y at (0.000, 0.000, 0.000), Sn at (0.500, 0.500, 0.500), Sb at (0.500, 0.500, 0.000) and Br at (0.000, 0.500, 0.500).

The value obtained for the uncorrected formation energy is -0.15 eV/atom. For the calculated volume, the calculation gives 175.17 Å³/cell.


## Sr4SbBr4 (PBE-GGA)

Data for a relaxed Sr4SbBr4 crystal.

It has space group C2/m (No. 12), with a = 15.034 Å, b = 4.681 Å, c = 11.283 Å, α = 90.00°, β = 120.12° and γ = 90.00°. The inequivalent atoms are Sr at (0.094, 0.000, 0.399), Sr at (0.202, 0.500, 0.794), Sb at (0.000, 0.500, 0.500), Br at (0.117, 0.000, 0.898) and Br at (0.196, 0.500, 0.295).

The value obtained for the uncorrected formation energy is -1.67 eV/atom. For the calculated volume, the calculation gives 686.79 Å³/cell.


## SrSbBr5 (PBE-GGA)

Data for a relaxed SrSbBr5 crystal.

It has space group P2_1/c (No. 14), with a = 7.275 Å, b = 14.625 Å, c = 10.269 Å, α = 90.00°, β = 108.35° and γ = 90.00°. The inequivalent atoms are Sr at (0.034, 0.023, 0.256), Sb at (0.405, 0.234, 0.607), Br at (0.048, 0.121, 0.544), Br at (0.167, 0.098, 0.998), Br at (0.260, 0.679, 0.373), Br at (0.409, 0.161, 0.364) and Br at (0.411, 0.588, 0.754).

The value obtained for the uncorrected formation energy is -1.20 eV/atom. For the calculated volume, the calculation gives 1037.09 Å³/cell.


## Sr6SbBr8 (PBE-GGA)

Data for a relaxed Sr6SbBr8 crystal.

It has space group R-3 (No. 148, hexagonal axes), with a = 8.1302 Å, b = 8.1302 Å, c = 30.3593 Å, α = 90.00°, β = 90.00° and γ = 120.00°. The inequivalent atoms are Sr at (0.9996, 0.3179, 0.4360), Sb at (0.0000, 0.0000, 0.5000), Br at (0.0000, 0.0000, 0.1666) and Br at (0.0009, 0.6532, 0.3877).

The value obtained for the uncorrected formation energy is -1.82 eV/atom. For the calculated volume, the calculation gives 1737.91 Å³/cell.


## Sr2SbBr (PBE-GGA)

Data for a relaxed Sr2SbBr crystal.

It has space group R3m (No. 160, hexagonal axes), with a = 4.7284 Å, b = 4.7284 Å, c = 24.1635 Å, α = 90.00°, β = 90.00° and γ = 120.00°. The inequivalent atoms are Sr at (0.0000, 0.0000, 0.0000), Sr at (0.0000, 0.0000, 0.1894), Sb at (0.0000, 0.0000, 0.5941) and Br at (0.0000, 0.0000, 0.4203).

The value obtained for the uncorrected formation energy is -1.39 eV/atom. For the calculated volume, the calculation gives 467.87 Å³/cell.


## SrSb2Br (PBE-GGA)

Data for a relaxed SrSb2Br crystal.

It has space group I4/mmm (No. 139), with a = 4.354 Å, b = 4.354 Å, c = 13.316 Å, α = 90.00°, β = 90.00° and γ = 90.00°. The inequivalent atoms are Sr at (0.000, 0.000, 0.000), Sb at (0.000, 0.500, 0.250) and Br at (0.000, 0.000, 0.500).

The value obtained for the uncorrected formation energy is -0.83 eV/atom. For the calculated volume, the calculation gives 252.40 Å³/cell.


## Sr4Sb2Br3 (PBE-GGA)

Data for a relaxed Sr4Sb2Br3 crystal.

It has space group C2/m (No. 12), with a = 8.046 Å, b = 4.646 Å, c = 18.966 Å, α = 90.00°, β = 90.08° and γ = 90.00°. The inequivalent atoms are Sr at (0.001, 0.000, 0.319), Sr at (0.166, 0.500, 0.888), Sb at (0.167, 0.500, 0.208), Br at (0.000, 0.000, 0.000) and Br at (0.165, 0.500, 0.600).

The value obtained for the uncorrected formation energy is -1.49 eV/atom. For the calculated volume, the calculation gives 709.04 Å³/cell.


## Sr2SbBr (PBE-GGA)

Data for a relaxed Sr2SbBr crystal.

It has space group I-42d (No. 122), with a = 6.982 Å, b = 6.982 Å, c = 15.900 Å, α = 90.00°, β = 90.00° and γ = 90.00°. The inequivalent atoms are Sr at (0.245, 0.250, 0.125), Sb at (0.000, 0.000, 0.000) and Br at (0.000, 0.000, 0.500).

The value obtained for the uncorrected formation energy is -1.19 eV/atom. For the calculated volume, the calculation gives 775.21 Å³/cell.